[1]
{
  "formula": "NiPt2Br",
  "functional": "PBE-GGA",
  "state": "optimized geometry",
  "formation_energy_uncorrected_ev_per_atom": 0.40,
  "n_ef_per_ev_atom": 1.212,
  "energy_ev_per_atom": -4.48,
  "volume_a3_per_atom": 17.19,
  "rho_g_cm3": 12.8,
  "crystal_system": "monoclinic",
  "sg": "Pm, No. 6",
  "lattice_angstrom": [[3.943, 0.000, 0.000], [0.000, 3.469, 0.000], [-1.404, 0.000, 5.027]],
  "species": ["Ni", "Pt", "Pt", "Br"],
  "frac_coords": [[0.000, 0.000, 0.000], [0.090, 0.000, 0.538], [0.627, 0.500, 0.655], [0.423, 0.500, 0.139]]
}

[2]
{
  "formula": "Mg2ZnOs",
  "functional": "PBE-GGA",
  "state": "optimized geometry",
  "n_ef_per_ev_atom": 0.311,
  "energy_ev_per_atom": -3.83,
  "volume_a3_per_atom": 16.69,
  "rho_g_cm3": 7.6,
  "crystal_system": "monoclinic",
  "e_form_kj_per_mol_atoms": 9.2,
  "sg": "Cm, No. 8",
  "lattice_angstrom": [[5.006, -1.391, 0.000], [5.006, 1.391, 0.000], [-1.075, 0.000, 4.795]],
  "species": ["Mg", "Mg", "Zn", "Os"],
  "frac_coords": [[0.000, 0.000, 0.000], [0.206, 0.206, 0.652], [0.449, 0.449, 0.467], [0.747, 0.747, 0.165]]
}

[3]
{
  "formula": "ErThS4",
  "functional": "PBE-GGA",
  "state": "optimized geometry",
  "formation_energy_uncorrected_ev_per_atom": -1.70,
  "n_ef_per_ev_atom": 0.210,
  "energy_ev_per_atom": -6.45,
  "volume_a3_per_atom": 23.82,
  "rho_g_cm3": 6.1,
  "crystal_system": "monoclinic",
  "sg": "C2/m, No. 12",
  "lattice_angstrom": [[3.410, -3.076, 0.000], [3.410, 3.076, 0.000], [-0.016, 0.000, 6.813]],
  "species": ["Er", "Th", "S", "S", "S", "S"],
  "frac_coords": [[0.000, 0.000, 0.000], [0.500, 0.500, 0.500], [0.001, 0.500, 0.754], [0.500, 0.001, 0.754], [0.500, 0.999, 0.246], [0.999, 0.500, 0.246]]
}

[4]
{
  "formula": "Pm6Sm3Dy2In",
  "functional": "PBE-GGA",
  "state": "optimized geometry",
  "n_ef_per_ev_atom": 1.207,
  "energy_ev_per_atom": -4.59,
  "volume_a3_per_atom": 32.56,
  "rho_g_cm3": 7.5,
  "crystal_system": "monoclinic",
  "e_form_kj_per_mol_atoms": -3.5,
  "sg": "C2/m, No. 12",
  "lattice_angstrom": [[3.107, -5.401, 0.000], [3.107, 5.401, 0.000], [-2.114, 0.000, 11.639]],
  "species": ["Pm", "Pm", "Pm", "Pm", "Pm", "Pm", "Sm", "Sm", "Sm", "Dy", "Dy", "In"],
  "frac_coords": [[0.081, 0.407, 0.244], [0.245, 0.245, 0.754], [0.407, 0.081, 0.244], [0.593, 0.919, 0.756], [0.755, 0.755, 0.246], [0.919, 0.593, 0.756], [0.168, 0.832, 0.500], [0.500, 0.500, 0.500], [0.832, 0.168, 0.500], [0.334, 0.666, 0.000], [0.666, 0.334, 0.000], [0.000, 0.000, 0.000]]
}

[5]
{
  "formula": "CeTl2CuSe4",
  "functional": "PBE-GGA",
  "state": "optimized geometry",
  "formation_energy_uncorrected_ev_per_atom": -0.63,
  "n_ef_per_ev_atom": 0.534,
  "energy_ev_per_atom": -4.22,
  "volume_a3_per_atom": 28.10,
  "rho_g_cm3": 6.9,
  "crystal_system": "tetragonal",
  "sg": "I-4, No. 82",
  "lattice_angstrom": [[-3.786, 3.786, 3.920], [3.786, -3.786, 3.920], [3.786, 3.786, -3.920]],
  "species": ["Ce", "Tl", "Tl", "Cu", "Se", "Se", "Se", "Se"],
  "frac_coords": [[0.000, 0.000, 0.000], [0.500, 0.500, 0.000], [0.750, 0.250, 0.500], [0.250, 0.750, 0.500], [0.087, 0.024, 0.457], [0.370, 0.913, 0.937], [0.566, 0.630, 0.543], [0.976, 0.434, 0.063]]
}

[6]
{
  "formula": "LiTaOs2",
  "functional": "PBE-GGA",
  "state": "optimized geometry",
  "n_ef_per_ev_atom": 0.706,
  "energy_ev_per_atom": -8.98,
  "volume_a3_per_atom": 14.71,
  "rho_g_cm3": 16.0,
  "crystal_system": "orthorhombic",
  "e_form_kj_per_mol_atoms": 7.5,
  "sg": "Imm2, No. 44",
  "lattice_angstrom": [[-1.537, 2.171, 4.410], [1.537, -2.171, 4.410], [1.537, 2.171, -4.410]],
  "species": ["Li", "Ta", "Os", "Os"],
  "frac_coords": [[0.000, 0.000, 0.000], [0.736, 0.236, 0.500], [0.246, 0.746, 0.500], [0.488, 0.488, 0.000]]
}

[7]
{
  "formula": "BeTlIr2",
  "functional": "PBE-GGA",
  "state": "optimized geometry",
  "n_ef_per_ev_atom": 0.735,
  "energy_ev_per_atom": -5.72,
  "volume_a3_per_atom": 14.97,
  "rho_g_cm3": 16.6,
  "crystal_system": "orthorhombic",
  "e_form_kj_per_mol_atoms": 22.4,
  "sg": "Immm, No. 71",
  "lattice_angstrom": [[-1.447, 2.373, 4.360], [1.447, -2.373, 4.360], [1.447, 2.373, -4.360]],
  "species": ["Be", "Tl", "Ir", "Ir"],
  "frac_coords": [[0.000, 0.000, 0.000], [0.500, 0.500, 0.000], [0.213, 0.713, 0.500], [0.787, 0.287, 0.500]]
}

[8]
{
  "formula": "CaCoH3",
  "functional": "PBE-GGA",
  "state": "optimized geometry",
  "n_ef_per_ev_atom": 0.447,
  "energy_ev_per_atom": -3.76,
  "volume_a3_per_atom": 8.84,
  "rho_g_cm3": 3.8,
  "crystal_system": "hexagonal",
  "sg": "P6_3/mmc, No. 194",
  "lattice_angstrom": [[3.663, 0.000, 0.000], [-1.832, 3.172, 0.000], [0.000, 0.000, 7.611]],
  "species": ["Ca", "Ca", "Co", "Co", "H", "H", "H", "H", "H", "H"],
  "frac_coords": [[0.333, 0.667, 0.250], [0.667, 0.333, 0.750], [0.000, 0.000, 0.000], [0.000, 0.000, 0.500], [0.000, 0.000, 0.250], [0.000, 0.000, 0.750], [0.333, 0.667, 0.555], [0.333, 0.667, 0.945], [0.667, 0.333, 0.055], [0.667, 0.333, 0.445]]
}

[9]
{
  "formula": "MgTaPt2",
  "functional": "PBE-GGA",
  "state": "optimized geometry",
  "n_ef_per_ev_atom": 0.436,
  "energy_ev_per_atom": -6.95,
  "volume_a3_per_atom": 16.28,
  "rho_g_cm3": 15.2,
  "crystal_system": "tetragonal",
  "e_form_kj_per_mol_atoms": -54.5,
  "sg": "I-4m2, No. 119",
  "lattice_angstrom": [[-1.963, 1.963, 4.225], [1.963, -1.963, 4.225], [1.963, 1.963, -4.225]],
  "species": ["Mg", "Ta", "Pt", "Pt"],
  "frac_coords": [[0.000, 0.000, 0.000], [0.750, 0.250, 0.500], [0.250, 0.750, 0.500], [0.500, 0.500, 0.000]]
}

[10]
{
  "formula": "HfCoSbTe2",
  "functional": "PBE-GGA",
  "state": "optimized geometry",
  "formation_energy_uncorrected_ev_per_atom": 0.73,
  "n_ef_per_ev_atom": 1.831,
  "energy_ev_per_atom": -4.76,
  "volume_a3_per_atom": 33.67,
  "rho_g_cm3": 6.1,
  "crystal_system": "tetragonal",
  "sg": "P4/mmm, No. 123",
  "lattice_angstrom": [[5.499, 0.000, 0.000], [0.000, 5.499, 0.000], [0.000, 0.000, 5.568]],
  "species": ["Hf", "Co", "Sb", "Te", "Te"],
  "frac_coords": [[0.000, 0.000, 0.000], [0.500, 0.500, 0.500], [0.000, 0.000, 0.500], [0.000, 0.500, 0.000], [0.500, 0.000, 0.000]]
}

[11]
{
  "formula": "TaFeAs3",
  "functional": "PBE-GGA",
  "state": "optimized geometry",
  "n_ef_per_ev_atom": 0.977,
  "energy_ev_per_atom": -6.06,
  "volume_a3_per_atom": 24.57,
  "rho_g_cm3": 6.2,
  "crystal_system": "cubic",
  "e_form_kj_per_mol_atoms": 76.7,
  "sg": "Pm-3m, No. 221",
  "lattice_angstrom": [[4.971, 0.000, 0.000], [0.000, 4.971, 0.000], [0.000, 0.000, 4.971]],
  "species": ["Ta", "Fe", "As", "As", "As"],
  "frac_coords": [[0.000, 0.000, 0.000], [0.500, 0.500, 0.500], [0.000, 0.000, 0.500], [0.000, 0.500, 0.000], [0.500, 0.000, 0.000]]
}

[12]
{
  "formula": "Pm2CoNi3P4",
  "functional": "PBE-GGA",
  "state": "optimized geometry",
  "n_ef_per_ev_atom": 0.548,
  "energy_ev_per_atom": -6.53,
  "volume_a3_per_atom": 14.85,
  "rho_g_cm3": 7.3,
  "crystal_system": "tetragonal",
  "e_form_kj_per_mol_atoms": -94.0,
  "sg": "P-4m2, No. 115",
  "lattice_angstrom": [[4.013, 0.000, 0.000], [0.000, 4.013, 0.000], [0.000, 0.000, 9.220]],
  "species": ["Pm", "Pm", "Co", "Ni", "Ni", "Ni", "P", "P", "P", "P"],
  "frac_coords": [[0.000, 0.500, 0.247], [0.500, 0.000, 0.753], [0.000, 0.000, 0.500], [0.000, 0.500, 0.884], [0.500, 0.000, 0.116], [0.500, 0.500, 0.500], [0.000, 0.000, 0.000], [0.000, 0.500, 0.630], [0.500, 0.000, 0.370], [0.500, 0.500, 0.000]]
}